[1]
Material: Ca6InAu5
Method: DFT, PBE
State: optimized geometry

Values from the calculation:
The calculation puts the formation energy from the elements at -718 meV per atom. As for the volume: 595 Å³/cell.

CIF file:
```
data_Ca6InAu5
_space_group_name_H-M_alt 'C m m m'
_space_group_IT_number 65
_space_group_name_Hall '-C 2 2'
_cell_length_a 5.190
_cell_length_b 15.686
_cell_length_c 7.310
_cell_angle_alpha 90.00
_cell_angle_beta 90.00
_cell_angle_gamma 90.00
loop_
_atom_site_label
_atom_site_fract_x
_atom_site_fract_y
_atom_site_fract_z
_atom_site_occupancy
Ca1 0.000 0.000 0.239 1
Ca2 0.000 0.329 0.250 1
In1 0.000 0.500 0.500 1
Au1 0.000 0.156 0.500 1
Au2 0.000 0.167 0.000 1
Au3 0.000 0.500 0.000 1
```


[2]
Material: CaAs3Rh
Method: DFT, PBE
State: optimized geometry

Values from the calculation:
The calculation puts the excess energy over the best structure of this formula in the dataset at 0 meV per atom. The calculation puts the formation energy from the elements at -88 meV per atom. As for the volume: 117 Å³/cell.

CIF file:
```
data_CaAs3Rh
_space_group_name_H-M_alt 'P m -3 m'
_space_group_IT_number 221
_space_group_name_Hall '-P 4 2 3'
_cell_length_a 4.897
_cell_length_b 4.897
_cell_length_c 4.897
_cell_angle_alpha 90.00
_cell_angle_beta 90.00
_cell_angle_gamma 90.00
loop_
_atom_site_label
_atom_site_fract_x
_atom_site_fract_y
_atom_site_fract_z
_atom_site_occupancy
Ca1 0.000 0.000 0.000 1
As1 0.000 0.500 0.500 1
Rh1 0.500 0.500 0.500 1
```


[3]
Material: TeHPb2
Method: DFT, PBE
State: optimized geometry

Values from the calculation:
The calculation puts the excess energy over the best structure of this formula in the dataset at 35 meV per atom. As for the volume: 486 Å³/cell.

CIF file:
```
data_TeHPb2
_space_group_name_H-M_alt 'I -4 2 d'
_space_group_IT_number 122
_space_group_name_Hall 'I -4 2bw'
_cell_length_a 5.905
_cell_length_b 5.905
_cell_length_c 13.937
_cell_angle_alpha 90.00
_cell_angle_beta 90.00
_cell_angle_gamma 90.00
loop_
_atom_site_label
_atom_site_fract_x
_atom_site_fract_y
_atom_site_fract_z
_atom_site_occupancy
Te1 0.000 0.000 0.000 1
H1 0.000 0.000 0.500 1
Pb1 0.132 0.250 0.625 1
```